Below is a relaxed structure of Nd2SmWO8, with properties calculated at the GGA+U level.

Properties
N(E_F)   6.73 states/eV/cell
Theoretical density   6.51 Mg/m³
E   -7.82 eV per atom

Geometry as CIF:
```
data_Nd2SmWO8
_cell_length_a 5.2165
_cell_length_b 5.2180
_cell_length_c 7.0367
_cell_angle_alpha 90.00
_cell_angle_beta 90.00
_cell_angle_gamma 90.62
_symmetry_space_group_name_H-M 'P 1'
_symmetry_Int_Tables_number 1
_symmetry_space_group_name_Hall 'P 1'
loop_
_atom_site_label
_atom_site_fract_x
_atom_site_fract_y
_atom_site_fract_z
Nd1 0.5000 0.5000 0.7528
Nd2 0.5000 0.5000 0.2472
Sm1 0.0000 0.0000 0.5000
W1 0.0000 0.0000 0.0000
O1 0.1777 0.8215 0.2067
O2 0.7337 0.7347 0.0000
O3 0.8223 0.1785 0.2067
O4 0.8223 0.1785 0.7933
O5 0.2663 0.2653 0.0000
O6 0.1777 0.8215 0.7933
O7 0.6930 0.6941 0.5000
O8 0.3070 0.3059 0.5000
```